# AcThZn, optimized geometry, DFT PBE
data_AcThZn
_chemical_formula_sum 'Ac2 Th2 Zn2'
_cell_length_a 3.801
_cell_length_b 3.801
_cell_length_c 12.895
_cell_angle_alpha 90.00
_cell_angle_beta 90.00
_cell_angle_gamma 90.00
_symmetry_space_group_name_H-M 'I 4 m m'
_symmetry_Int_Tables_number 107
_symmetry_space_group_name_Hall 'I 4 -2'
loop_
_atom_site_label
_atom_site_fract_x
_atom_site_fract_y
_atom_site_fract_z
Ac1 0.000 0.000 0.000
Th1 0.000 0.000 0.293
Zn1 0.000 0.000 0.663
# Size of the total moment   0.00 μB per cell
# Polymorph energy (0 for the lowest one)   0.00 eV/f.u.

# Pm2TlI, optimized geometry, DFT PBE
data_Pm2TlI
_chemical_formula_sum 'Pm6 Tl3 I3'
_cell_length_a 4.5570
_cell_length_b 4.5570
_cell_length_c 22.0884
_cell_angle_alpha 90.00
_cell_angle_beta 90.00
_cell_angle_gamma 120.00
_symmetry_space_group_name_H-M 'R -3 m'
_symmetry_Int_Tables_number 166
_symmetry_space_group_name_Hall '-R 3 2"'
loop_
_atom_site_label
_atom_site_fract_x
_atom_site_fract_y
_atom_site_fract_z
Pm1 0.0000 0.0000 0.2419
Tl1 0.0000 0.0000 0.5000
I1 0.0000 0.0000 0.0000
# Size of the total moment   0.00 μB per cell
# Polymorph energy (0 for the lowest one)   0.00 eV/f.u.

# La8Ga3OsI4, optimized geometry, DFT PBE
data_La8Ga3OsI4
_chemical_formula_sum 'La24 Ga9 Os3 I12'
_cell_length_a 8.8754
_cell_length_b 8.8754
_cell_length_c 23.7696
_cell_angle_alpha 90.00
_cell_angle_beta 90.00
_cell_angle_gamma 120.00
_symmetry_space_group_name_H-M 'R -3 m'
_symmetry_Int_Tables_number 166
_symmetry_space_group_name_Hall '-R 3 2"'
loop_
_atom_site_label
_atom_site_fract_x
_atom_site_fract_y
_atom_site_fract_z
La1 0.0000 0.0000 0.2393
La2 0.0202 0.5101 0.2322
Ga1 0.0000 0.5000 0.5000
Os1 0.0000 0.0000 0.5000
I1 0.0000 0.0000 0.0000
I2 0.0000 0.5000 0.0000
# Total energy   -235.73 eV per cell
# Size of the total moment   0.00 μB per cell

# La3BiI, optimized geometry, DFT PBE
data_La3BiI
_chemical_formula_sum 'La3 Bi1 I1'
_cell_length_a 5.890
_cell_length_b 5.890
_cell_length_c 5.890
_cell_angle_alpha 90.00
_cell_angle_beta 90.00
_cell_angle_gamma 90.00
_symmetry_space_group_name_H-M 'P m -3 m'
_symmetry_Int_Tables_number 221
_symmetry_space_group_name_Hall '-P 4 2 3'
loop_
_atom_site_label
_atom_site_fract_x
_atom_site_fract_y
_atom_site_fract_z
La1 0.000 0.000 0.500
Bi1 0.500 0.500 0.500
I1 0.000 0.000 0.000
# Size of the total moment   0.00 μB per cell
# Polymorph energy (0 for the lowest one)   2.48 eV/f.u.

# NbIN3, optimized geometry, DFT PBE
data_NbIN3
_chemical_formula_sum 'Nb1 I1 N3'
_cell_length_a 3.996
_cell_length_b 3.996
_cell_length_c 3.996
_cell_angle_alpha 90.00
_cell_angle_beta 90.00
_cell_angle_gamma 90.00
_symmetry_space_group_name_H-M 'P m -3 m'
_symmetry_Int_Tables_number 221
_symmetry_space_group_name_Hall '-P 4 2 3'
loop_
_atom_site_label
_atom_site_fract_x
_atom_site_fract_y
_atom_site_fract_z
Nb1 0.000 0.000 0.000
I1 0.500 0.500 0.500
N1 0.000 0.500 0.500
# Total energy   -26.42 eV per cell
# Size of the total moment   1.65 μB per cell

# LiC2Br2, optimized geometry, DFT PBE
data_LiC2Br2
_chemical_formula_sum 'Li2 C4 Br4'
_cell_length_a 7.367
_cell_length_b 7.367
_cell_length_c 3.174
_cell_angle_alpha 90.00
_cell_angle_beta 90.00
_cell_angle_gamma 90.00
_symmetry_space_group_name_H-M 'P 4/m b m'
_symmetry_Int_Tables_number 127
_symmetry_space_group_name_Hall '-P 4 2ab'
loop_
_atom_site_label
_atom_site_fract_x
_atom_site_fract_y
_atom_site_fract_z
Li1 0.000 0.000 0.000
C1 0.198 0.302 0.500
Br1 0.171 0.671 0.000
# Size of the total moment   0.00 μB per cell
# Polymorph energy (0 for the lowest one)   2.05 eV/f.u.

# Ni2BRhAu, optimized geometry, DFT PBE
data_Ni2BRhAu
_chemical_formula_sum 'Ni2 B1 Rh1 Au1'
_cell_length_a 3.937
_cell_length_b 3.937
_cell_length_c 4.063
_cell_angle_alpha 90.00
_cell_angle_beta 90.00
_cell_angle_gamma 90.00
_symmetry_space_group_name_H-M 'P 4/m m m'
_symmetry_Int_Tables_number 123
_symmetry_space_group_name_Hall '-P 4 2'
loop_
_atom_site_label
_atom_site_fract_x
_atom_site_fract_y
_atom_site_fract_z
Ni1 0.000 0.500 0.000
B1 0.000 0.000 0.000
Rh1 0.000 0.000 0.500
Au1 0.500 0.500 0.500
# Size of the total moment   0.03 μB per cell
# Polymorph energy (0 for the lowest one)   0.00 eV/f.u.

# In3OsF, optimized geometry, DFT PBE
data_In3OsF
_chemical_formula_sum 'In3 Os1 F1'
_cell_length_a 4.624
_cell_length_b 4.624
_cell_length_c 4.624
_cell_angle_alpha 90.00
_cell_angle_beta 90.00
_cell_angle_gamma 90.00
_symmetry_space_group_name_H-M 'P m -3 m'
_symmetry_Int_Tables_number 221
_symmetry_space_group_name_Hall '-P 4 2 3'
loop_
_atom_site_label
_atom_site_fract_x
_atom_site_fract_y
_atom_site_fract_z
In1 0.000 0.000 0.500
Os1 0.500 0.500 0.500
F1 0.000 0.000 0.000
# Size of the total moment   0.00 μB per cell
# Polymorph energy (0 for the lowest one)   2.40 eV/f.u.

# Sm2NpTiN5, optimized geometry, DFT PBE
data_Sm2NpTiN5
_chemical_formula_sum 'Sm8 Np4 Ti4 N20'
_cell_length_a 3.464
_cell_length_b 13.887
_cell_length_c 10.370
_cell_angle_alpha 90.00
_cell_angle_beta 90.00
_cell_angle_gamma 90.00
_symmetry_space_group_name_H-M 'C m c 21'
_symmetry_Int_Tables_number 36
loop_
_symmetry_equiv_pos_as_xyz
'x,y,z'
'-x,-y,z+1/2'
'-x,y,z'
'x,-y,z+1/2'
'x+1/2,y+1/2,z'
'-x+1/2,-y+1/2,z+1/2'
'-x+1/2,y+1/2,z'
'x+1/2,-y+1/2,z+1/2'
loop_
_atom_site_label
_atom_site_fract_x
_atom_site_fract_y
_atom_site_fract_z
Sm1 0.000 0.106 0.000
Sm2 0.000 0.134 0.601
Np1 0.000 0.213 0.317
Ti1 0.000 0.485 0.773
N1 0.000 0.053 0.348
N2 0.000 0.281 0.954
N3 0.000 0.308 0.689
N4 0.000 0.375 0.313
N5 0.000 0.494 0.092
# Total energy   -336.08 eV per cell
# Size of the total moment   7.96 μB per cell

# SrAl2TlH, optimized geometry, DFT PBE
data_SrAl2TlH
_chemical_formula_sum 'Sr1 Al2 Tl1 H1'
_cell_length_a 4.530
_cell_length_b 4.530
_cell_length_c 5.220
_cell_angle_alpha 90.00
_cell_angle_beta 90.00
_cell_angle_gamma 90.00
_symmetry_space_group_name_H-M 'P 4/m m m'
_symmetry_Int_Tables_number 123
_symmetry_space_group_name_Hall '-P 4 2'
loop_
_atom_site_label
_atom_site_fract_x
_atom_site_fract_y
_atom_site_fract_z
Sr1 0.000 0.000 0.000
Al1 0.000 0.500 0.500
Tl1 0.500 0.500 0.000
H1 0.500 0.500 0.500
# Total energy   -14.05 eV per cell
# Size of the total moment   0.00 μB per cell

# BaRe2Br, optimized geometry, DFT PBE
data_BaRe2Br
_chemical_formula_sum 'Ba2 Re4 Br2'
_cell_length_a 5.675
_cell_length_b 12.298
_cell_length_c 3.276
_cell_angle_alpha 90.00
_cell_angle_beta 125.19
_cell_angle_gamma 90.00
_symmetry_space_group_name_H-M 'C 1 2/m 1'
_symmetry_Int_Tables_number 12
loop_
_symmetry_equiv_pos_as_xyz
'x,y,z'
'-x,-y,-z'
'-x,y,-z'
'x,-y,z'
'x+1/2,y+1/2,z'
'-x+1/2,-y+1/2,-z'
'-x+1/2,y+1/2,-z'
'x+1/2,-y+1/2,z'
loop_
_atom_site_label
_atom_site_fract_x
_atom_site_fract_y
_atom_site_fract_z
Ba1 0.000 0.000 0.000
Re1 0.250 0.250 0.000
Br1 0.000 0.500 0.000
# Size of the total moment   0.00 μB per cell
# Polymorph energy (0 for the lowest one)   3.24 eV/f.u.

Which value of size of the total moment does entry 6 give?
0.00 μB per cell

Which value of size of the total moment does entry 6 give?
0.00 μB per cell